Below is a relaxed structure of LiB3H12, with properties calculated at the PBE-GGA level.

Lattice parameters (Å, degrees): 8.2011 8.2011 11.3178 90.00 90.00 120.00
Space group R3c (No. 161, hexagonal axes)
Unique sites:
Li (0.0000, 0.0000, 0.0000) x6
B (0.0979, 0.3762, 0.0190) x18
H (0.0107, 0.3962, 0.9402) x18
H (0.0106, 0.4740, 0.0887) x18
H (0.0302, 0.2347, 0.0786) x18
H (0.1710, 0.0756, 0.8711) x18

Calculated values
Total magnetization = 0.0 μB per cell
Calculated total energy = -3.8059 eV/atom
ρ = 0.78 g/cm3

Below is a relaxed structure of LiB2H2, with properties calculated at the PBE-GGA level.

Lattice parameters (Å, degrees): 6.2465 4.7898 5.2842 90.00 92.41 90.00
Space group C2 (No. 5)
Unique sites:
Li (0.0000, 0.0000, 0.0000) x2
Li (0.0000, 0.4537, 0.5000) x2
B (0.1291, 0.0068, 0.4792) x4
B (0.2228, 0.7383, 0.6964) x4
H (0.0721, 0.6369, 0.8086) x4
H (0.1716, 0.3689, 0.1413) x4

Calculated values
Total magnetization = 0.0 μB per cell
ΔE to the lowest computed polymorph = 0.0327 eV per atom
ρ = 1.29 g/cm3